Record 1
PrThCd6 | PBE-GGA | optimized geometry

a b c (Å): 5.011 6.846 6.846
angles (deg): 120.09 90.00 90.00
Sites, in units of the cell vectors:
1 Pr 0.500 0.417 0.583
2 Th 0.000 0.083 0.917
3 Cd 0.000 0.065 0.408
4 Cd 0.000 0.592 0.935
5 Cd 0.000 0.592 0.408
6 Cd 0.500 0.435 0.092
7 Cd 0.500 0.908 0.565
8 Cd 0.500 0.908 0.092

Summary:
**N(E_F)**: 5.2 states/eV per cell
**DFT formation energy**: -0.231 eV per atom

***

Record 2
SmGa2Pt3 | PBE-GGA | optimized geometry

a b c (Å): 5.494 6.443 6.443
angles (deg): 100.45 90.00 90.00
Sites, in units of the cell vectors:
1 Sm 0.250 0.328 0.328
2 Sm 0.750 0.672 0.672
3 Ga 0.500 0.780 0.220
4 Ga 0.000 0.780 0.220
5 Ga 0.000 0.220 0.780
6 Ga 0.500 0.220 0.780
7 Pt 0.750 0.455 0.141
8 Pt 0.750 0.141 0.455
9 Pt 0.250 0.545 0.859
10 Pt 0.750 0.028 0.028
11 Pt 0.250 0.972 0.972
12 Pt 0.250 0.859 0.545

Summary:
**N(E_F)**: 5.6 states/eV per cell
**DFT formation energy**: -0.843 eV per atom

***

Record 3
GeRuRh | PBE-GGA | optimized geometry

a b c (Å): 6.303 2.870 9.718
angles (deg): 90.00 99.08 90.00
Sites, in units of the cell vectors:
1 Ge 0.582 0.000 0.464
2 Ge 0.582 0.500 0.964
3 Ge 0.983 0.000 0.193
4 Ge 0.983 0.500 0.693
5 Ru 0.287 0.000 0.827
6 Ru 0.287 0.500 0.327
7 Ru 0.218 0.000 0.550
8 Ru 0.218 0.500 0.050
9 Rh 0.883 0.000 0.906
10 Rh 0.883 0.500 0.406
11 Rh 0.583 0.000 0.185
12 Rh 0.583 0.500 0.685

Summary:
**N(E_F)**: 10.3 states/eV per cell
**ΔE to the lowest computed polymorph**: 2.3 kJ/mol of atoms
**DFT formation energy**: -0.214 eV per atom

***

Record 4
InCoH | PBE-GGA | optimized geometry

a b c (Å): 4.712 5.199 5.199
angles (deg): 62.78 62.91 62.91
Each line ends with the local moment (μB).
Sites, in units of the cell vectors:
1 In 0.961 0.768 0.955  -0.04
2 In 0.461 0.268 0.455  -0.04
3 Co 0.461 0.268 0.955  1.04
4 Co 0.961 0.268 0.955  1.04
5 H 0.211 0.058 0.164  -0.01
6 H 0.711 0.477 0.745  -0.01

Summary:
**N(E_F)**: 1.8 states/eV per cell
**ΔE to the lowest computed polymorph**: 0.0 kJ/mol of atoms

***

Record 5
LiZrAs | PBE-GGA | optimized geometry

a b c (Å): 4.463 4.463 4.463
angles (deg): 60.00 60.00 60.00
Sites, in units of the cell vectors:
1 As 0.000 0.000 0.000
2 Li 0.500 0.500 0.500
3 Zr 0.750 0.750 0.750

Summary:
**N(E_F)**: 1.6 states/eV per cell
**ΔE to the lowest computed polymorph**: 74.7 kJ/mol of atoms
**DFT formation energy**: -0.124 eV per atom

***

Record 6
AcErIn2 | PBE-GGA | optimized geometry

a b c (Å): 3.890 3.890 7.939
angles (deg): 90.00 90.00 90.00
Sites, in units of the cell vectors:
1 Ac 0.500 0.500 0.500
2 In 0.000 0.000 0.783
3 In 0.000 0.000 0.217
4 Er 0.500 0.500 0.000

Summary:
**N(E_F)**: 2.9 states/eV per cell
**DFT formation energy**: -0.431 eV per atom

***

Record 7
HfGaAu2 | PBE-GGA | optimized geometry

a b c (Å): 3.227 3.227 7.159
angles (deg): 90.00 90.00 90.00
Sites, in units of the cell vectors:
1 Hf 0.500 0.500 0.500
2 Au 0.000 0.000 0.756
3 Au 0.000 0.000 0.244
4 Ga 0.500 0.500 0.000

Summary:
**N(E_F)**: 2.6 states/eV per cell
**DFT formation energy**: -0.335 eV per atom

***

Record 8
Mn5Be2AlTc2 | PBE-GGA | optimized geometry

a b c (Å): 3.343 8.373 8.373
angles (deg): 90.00 90.00 90.00
Each line ends with the local moment (μB).
Sites, in units of the cell vectors:
1 Mn 0.500 0.215 0.068  2.06
2 Mn 0.500 0.785 0.932  2.06
3 Mn 0.500 0.068 0.785  2.06
4 Mn 0.500 0.715 0.432  2.06
5 Mn 0.500 0.932 0.215  2.06
6 Mn 0.500 0.285 0.568  2.06
7 Mn 0.500 0.568 0.715  2.06
8 Mn 0.500 0.432 0.285  2.06
9 Mn 0.500 0.500 0.000  1.38
10 Mn 0.500 0.000 0.500  1.38
11 Be 0.000 0.119 0.619  -0.06
12 Be 0.000 0.881 0.381  -0.06
13 Be 0.000 0.619 0.881  -0.06
14 Be 0.000 0.381 0.119  -0.06
15 Al 0.000 0.000 0.000  -0.04
16 Al 0.000 0.500 0.500  -0.04
17 Tc 0.000 0.675 0.175  -0.10
18 Tc 0.000 0.325 0.825  -0.10
19 Tc 0.000 0.175 0.325  -0.10
20 Tc 0.000 0.825 0.675  -0.10

Summary:
**N(E_F)**: 19.4 states/eV per cell
**DFT formation energy**: 0.011 eV per atom

***

Record 9
ZrFe2NiC | PBE-GGA | optimized geometry

a b c (Å): 3.865 3.865 3.841
angles (deg): 90.00 90.00 90.00
Sites, in units of the cell vectors:
1 Ni 0.000 0.000 0.500
2 C 0.000 0.000 0.000
3 Fe 0.000 0.500 0.000
4 Fe 0.500 0.000 0.000
5 Zr 0.500 0.500 0.500

Summary:
**N(E_F)**: 3.9 states/eV per cell
**DFT formation energy**: -0.169 eV per atom

***

Q: What is the N(E_F) in the sixth record?
A: 2.9 states/eV per cell